DFT (PBE) results for Nd2MgBi4 after structural relaxation.

```
Nd2MgBi4
1.0
4.556 0.000 0.000
0.000 4.556 0.000
0.000 0.000 10.814
Nd Mg Bi
2 1 4
Direct
0.000 0.500 0.239 Nd
0.500 0.000 0.761 Nd
0.000 0.000 0.500 Mg
0.000 0.000 0.000 Bi
0.000 0.500 0.672 Bi
0.500 0.000 0.328 Bi
0.500 0.500 0.000 Bi
```

Summary:
formation energy	-54.8	kJ/mol of atoms
space-group type	P-4m2
energy	-30.63	eV/cell